Computed, not measured: a relaxed structure of BaSrYNbO6 at the PBE level of DFT.

## Properties
The density of states at the Fermi level comes out at 0.00 states/eV per atom. The calculation puts the raw total energy at -8.02 eV/atom. The total magnetization comes out at 0.00 μB per formula unit. Its uncorrected formation energy is -3033 meV per atom.

Structure (POSCAR):
```
BaSrYNbO6
1.0
5.9796 0.0247 0.0020
0.0009 5.9876 0.0017
-0.0277 -0.0337 8.4546
Ba Sr Y Nb O
2 2 2 2 12
direct
0.9948 0.9853 0.7501
0.0052 0.0147 0.2499
0.5007 0.4782 0.7493
0.4993 0.5218 0.2507
0.5000 0.0000 0.0000
0.0000 0.5000 0.5000
0.0000 0.5000 0.0000
0.5000 0.0000 0.5000
0.2115 0.7613 0.0200
0.2980 0.2690 0.4567
0.7885 0.2387 0.9800
0.7020 0.7310 0.5433
0.2637 0.2927 0.0443
0.2360 0.7914 0.4842
0.7363 0.7073 0.9557
0.7640 0.2086 0.5158
0.4500 0.0417 0.7358
0.0684 0.4838 0.7643
0.5500 0.9583 0.2642
0.9316 0.5162 0.2357
```